Here is crystalline UPd3Pt2 at its relaxed geometry from Alexandria via LeMat-Bulk. Energies are from PBE-GGA.

abc: 4.990 4.641 17.614
angles: 90.00 90.00 90.00
Space group Pnma (No. 62)
One atom of each set of equivalent atoms:
U: 0.097 0.250 0.123 [4 per cell]
Pd: 0.060 0.250 0.626 [4 per cell]
Pd: 0.085 0.250 0.462 [4 per cell]
Pd: 0.104 0.250 0.293 [4 per cell]
Pt: 0.075 0.250 0.786 [4 per cell]
Pt: 0.081 0.250 0.956 [4 per cell]

Values from the calculation:
ΔH_f (0 K)	-0.464	eV/atom
offset from the most stable computed form	0.000	eV per atom
total magnetization	5.2	Bohr magnetons per cell
N(E_F)	32.136	states/eV per cell
total energy	-6.955	eV/atom